# 1
## CdInHg (PBE)

Data for a geometry-optimized CdInHg structure.

Structure (extended XYZ):
```
3
Lattice="0.000 3.453 3.453 3.453 0.000 3.453 3.453 3.453 0.000" Properties=species:S:1:pos:R:3 pbc="T T T"
Cd 0.000 0.000 0.000
In 3.453 3.453 3.453
Hg 5.180 5.180 5.180
```

# 2
## Cd2In3Hg5 (PBE)

Data for a geometry-optimized Cd2In3Hg5 structure.

Structure (extended XYZ):
```
20
Lattice="7.776 0.000 0.000 -3.307 7.933 0.000 -2.147 -2.303 8.342" Properties=species:S:1:pos:R:3 pbc="T T T"
Cd -1.275 0.567 3.387
Cd 1.208 1.612 1.731
Cd 1.115 4.018 6.612
Cd 3.597 5.063 4.955
In -1.486 3.799 1.708
In -1.118 -0.147 6.756
In -1.506 5.998 6.632
In 3.828 -0.368 1.710
In 3.441 5.777 1.586
In 3.808 1.831 6.634
Hg -4.056 4.644 8.153
Hg -1.478 3.241 5.035
Hg -1.905 6.507 3.420
Hg -1.274 2.652 8.221
Hg 1.220 1.286 5.054
Hg 1.102 4.344 3.289
Hg 3.597 2.978 0.121
Hg 4.228 -0.877 4.923
Hg 3.800 2.389 3.307
Hg 6.378 0.986 0.190
```

# 3
## Cd2InHg9 (PBE)

Data for a geometry-optimized Cd2InHg9 structure.

Structure (extended XYZ):
```
12
Lattice="10.654 0.000 0.000 -5.327 9.227 0.000 0.000 0.000 3.239" Properties=species:S:1:pos:R:3 pbc="T T T"
Cd 0.000 6.151 0.000
Cd 5.327 3.076 0.000
In 0.000 0.000 0.000
Hg -2.664 4.613 0.000
Hg 0.000 3.200 1.619
Hg -2.556 7.627 1.619
Hg 2.771 1.600 1.619
Hg 5.327 0.000 0.000
Hg 2.664 4.613 0.000
Hg 2.556 7.627 1.619
Hg 7.883 1.600 1.619
Hg 5.327 6.027 1.619
```

Results
distance to the lowest polymorph of the same formula	6	meV per atom

# 4
## CdIn6Hg (PBE)

Data for a geometry-optimized CdIn6Hg structure.

Structure (extended XYZ):
```
8
Lattice="4.711 0.000 0.000 0.000 4.711 0.000 0.000 0.000 9.491" Properties=species:S:1:pos:R:3 pbc="T T T"
Cd 0.000 0.000 0.000
In 0.000 2.355 2.332
In 0.000 2.355 7.159
In 2.355 0.000 2.332
In 2.355 0.000 7.159
In 2.355 2.355 0.000
In 2.355 2.355 4.746
Hg 0.000 0.000 4.746
```

# 5
## Cd6In2Hg (PBE)

Data for a geometry-optimized Cd6In2Hg structure.

Structure (extended XYZ):
```
9
Lattice="7.070 -4.853 0.000 7.070 4.853 0.000 -0.703 0.000 3.172" Properties=species:S:1:pos:R:3 pbc="T T T"
Cd 4.269 1.554 1.004
Cd 7.070 2.819 0.000
Cd 4.269 -1.554 1.004
Cd 9.167 1.554 2.167
Cd 7.070 -2.819 0.000
Cd 9.167 -1.554 2.167
In 1.537 0.000 2.036
In 11.900 0.000 1.136
Hg 6.718 0.000 1.586
```

Results
distance to the lowest polymorph of the same formula	0	meV per atom

# 6
## Cd8In3Hg8 (PBE)

Data for a geometry-optimized Cd8In3Hg8 structure.

Structure (extended XYZ):
```
19
Lattice="5.906 0.000 0.000 2.210 8.195 0.000 0.751 3.112 9.785" Properties=species:S:1:pos:R:3 pbc="T T T"
Cd 0.504 1.596 3.338
Cd 2.504 4.120 0.774
Cd 3.780 7.051 4.469
Cd 4.059 6.961 1.335
Cd 4.808 4.346 8.450
Cd 5.087 4.256 5.316
Cd 6.363 7.188 9.011
Cd 8.363 9.711 6.448
In 1.956 4.311 6.953
In 3.328 1.556 4.893
In 6.911 6.996 2.832
Hg 0.814 1.441 0.271
Hg 2.279 4.303 3.828
Hg 3.572 7.033 7.545
Hg 5.250 9.842 8.045
Hg 3.617 1.466 1.740
Hg 5.295 4.274 2.240
Hg 6.588 7.004 5.957
Hg 8.053 9.866 9.514
```

| no. | energy relative to the elements (meV per atom) | calculated total energy (eV for the cell shown) |
| --- | --- | --- |
| 1 | 23 | -3.887 |
| 2 | 11 | -22.892 |
| 3 | 25 | -6.980 |
| 4 | 11 | -17.560 |
| 5 | 26 | -11.036 |
| 6 | 20 | -17.572 |